(1)
Here is a relaxed CdClO crystal from Alexandria via LeMat-Bulk. Energies are from PBE.

a = 3.7803 Å, b = 3.7803 Å, c = 4.7420 Å
α = 90.00°, β = 90.00°, γ = 120.00°
Space group P3m1 (No. 156)
Symmetry-distinct sites (fractional):
Cd  0.0000  0.0000  0.0000
Cl  0.3333  0.6667  0.6399
O  0.6667  0.3333  0.1292

Properties
Energy relative to the elements, uncorrected = -0.47 eV per atom
Total moment = 1.0 μB/f.u.



(2)
Here is a relaxed Cd3ClO3 crystal from Alexandria via LeMat-Bulk. Energies are from PBE.

a = 6.5530 Å, b = 6.5530 Å, c = 20.8571 Å
α = 90.00°, β = 90.00°, γ = 120.00°
Space group R-3 (No. 148, hexagonal axes)
Symmetry-distinct sites (fractional):
Cd  0.0089  0.6530  0.3980
Cl  0.0000  0.0000  0.1703
O  0.0087  0.6901  0.6155

Properties
Energy relative to the elements, uncorrected = -0.76 eV per atom
Total moment = 1.0 μB/f.u.



(3)
Here is a relaxed CdOsClO4 crystal from Alexandria via LeMat-Bulk. Energies are from PBE.

a = 9.5713 Å, b = 7.6015 Å, c = 8.2371 Å
α = 90.00°, β = 101.55°, γ = 90.00°
Space group C2/m (No. 12)
Symmetry-distinct sites (fractional):
Cd  0.1903  0.0000  0.0558
Os  0.1114  0.5000  0.2400
Cl  0.0017  0.0000  0.7752
O  0.0742  0.5000  0.7791
O  0.1705  0.3305  0.1180
O  0.2098  0.5000  0.4385

Properties
Energy relative to the elements, uncorrected = -0.90 eV per atom
Total moment = 0.0 μB/f.u.



(4)
Here is a relaxed CdPCl2O crystal from Alexandria via LeMat-Bulk. Energies are from PBE.

a = 4.9333 Å, b = 4.9333 Å, c = 5.4028 Å
α = 90.00°, β = 90.00°, γ = 90.00°
Space group P4/mmm (No. 123)
Symmetry-distinct sites (fractional):
Cd  0.0000  0.0000  0.0000
P  0.0000  0.0000  0.5000
Cl  0.0000  0.5000  0.0000
O  0.5000  0.5000  0.5000

Properties
Energy relative to the elements, uncorrected = 0.95 eV per atom
Total moment = 0.0 μB/f.u.



(5)
Here is a relaxed CdP2ClO crystal from Alexandria via LeMat-Bulk. Energies are from PBE.

a = 5.0361 Å, b = 5.0361 Å, c = 4.9468 Å
α = 90.00°, β = 90.00°, γ = 90.00°
Space group P4/mmm (No. 123)
Symmetry-distinct sites (fractional):
Cd  0.0000  0.0000  0.0000
P  0.0000  0.5000  0.0000
Cl  0.0000  0.0000  0.5000
O  0.5000  0.5000  0.5000

Properties
Energy relative to the elements, uncorrected = 1.45 eV per atom
Total moment = 0.0 μB/f.u.



(6)
Here is a relaxed CdP2ClO crystal from Alexandria via LeMat-Bulk. Energies are from PBE.

a = 3.9131 Å, b = 3.9131 Å, c = 6.2470 Å
α = 90.00°, β = 90.00°, γ = 90.00°
Space group P4/mmm (No. 123)
Symmetry-distinct sites (fractional):
Cd  0.0000  0.0000  0.0000
P  0.0000  0.5000  0.5000
Cl  0.5000  0.5000  0.0000
O  0.5000  0.5000  0.5000

Properties
Energy relative to the elements, uncorrected = 0.18 eV per atom
Total moment = 0.0 μB/f.u.



(7)
Here is a relaxed Cd5P3ClO12 crystal from Alexandria via LeMat-Bulk. Energies are from PBE.

a = 9.9374 Å, b = 9.9374 Å, c = 6.5589 Å
α = 90.00°, β = 90.00°, γ = 120.00°
Space group P6_3/m (No. 176)
Symmetry-distinct sites (fractional):
Cd  0.0304  0.2767  0.2500
Cd  0.3333  0.6667  0.5043
P  0.0246  0.6202  0.2500
Cl  0.0000  0.0000  0.2500
O  0.0721  0.7282  0.0601
O  0.1329  0.5449  0.2500
O  0.1489  0.5070  0.7500

Properties
Energy relative to the elements, uncorrected = -1.76 eV per atom
Total moment = 0.0 μB/f.u.



(8)
Here is a relaxed CdP2ClO crystal from Alexandria via LeMat-Bulk. Energies are from PBE.

a = 5.1024 Å, b = 5.1024 Å, c = 4.0798 Å
α = 90.00°, β = 90.00°, γ = 90.00°
Space group P4/mmm (No. 123)
Symmetry-distinct sites (fractional):
Cd  0.0000  0.0000  0.0000
P  0.0000  0.5000  0.0000
Cl  0.5000  0.5000  0.5000
O  0.0000  0.0000  0.5000

Properties
Energy relative to the elements, uncorrected = 0.99 eV per atom
Total moment = 0.0 μB/f.u.



- The lowest energy relative to the elements, uncorrected belongs to which entry?
  Cd5P3ClO12